[1]
# TaAsN2O | Alexandria | meta-GGA SCAN | single point on PBEsol structure
data_TaAsN2O
_chemical_formula_sum 'Ta1 As1 N2 O1'
_cell_length_a 4.0982
_cell_length_b 4.0982
_cell_length_c 3.8183
_cell_angle_alpha 90.00
_cell_angle_beta 90.00
_cell_angle_gamma 90.00
_space_group_name_H-M_alt 'P 4/m m m'
_space_group_IT_number 123
_space_group_name_Hall '-P 4 2'
loop_
_atom_site_label
_atom_site_fract_x
_atom_site_fract_y
_atom_site_fract_z
_atom_site_occupancy
Ta1 0.0000 0.0000 0.0000 1
As1 0.5000 0.5000 0.5000 1
N1 0.0000 0.5000 0.0000 1
O1 0.0000 0.0000 0.5000 1
# * energy relative to the elements, uncorrected: -1.2 eV per formula unit

***

[2]
# Li3Ag | Alexandria | meta-GGA SCAN | single point on PBEsol structure
data_Li3Ag
_chemical_formula_sum 'Li6 Ag2'
_cell_length_a 5.7223
_cell_length_b 7.9465
_cell_length_c 2.8564
_cell_angle_alpha 90.00
_cell_angle_beta 90.00
_cell_angle_gamma 90.00
_space_group_name_H-M_alt 'C m m m'
_space_group_IT_number 65
_space_group_name_Hall '-C 2 2'
loop_
_atom_site_label
_atom_site_fract_x
_atom_site_fract_y
_atom_site_fract_z
_atom_site_occupancy
Li1 0.0000 0.0000 0.0000 1
Li2 0.2500 0.2500 0.5000 1
Ag1 0.0000 0.5000 0.0000 1
# * energy of formation from the pure elements: -0.1130 eV/atom
# * relative energy among the computed polymorphs: 51 meV per atom

***

[3]
# ZnHg2Ir | Alexandria | meta-GGA SCAN | single point on PBEsol structure
data_ZnHg2Ir
_chemical_formula_sum 'Zn2 Hg4 Ir2'
_cell_length_a 3.9628
_cell_length_b 3.9628
_cell_length_c 8.6138
_cell_angle_alpha 90.00
_cell_angle_beta 90.00
_cell_angle_gamma 90.00
_space_group_name_H-M_alt 'I 4/m m m'
_space_group_IT_number 139
_space_group_name_Hall '-I 4 2'
loop_
_atom_site_label
_atom_site_fract_x
_atom_site_fract_y
_atom_site_fract_z
_atom_site_occupancy
Zn1 0.0000 0.0000 0.0000 1
Hg1 0.0000 0.5000 0.2500 1
Ir1 0.0000 0.0000 0.5000 1
# * energy of formation from the pure elements: 0.3655 eV/atom

***

Number 1: magnetic moment 0.00 μB/cell. Number 2: magnetic moment 0.00 μB/cell. Number 3: magnetic moment 0.00 μB/cell.